# 1
## LiSb3 (PBE)

Data for an optimized crystal structure of LiSb3.

Density, g/cm³: 5.9
Crystal system: orthorhombic

Geometry as POSCAR:
```
LiSb3
1.0
5.262 0.000 0.000
0.000 6.561 0.000
0.000 0.000 6.076
Li Sb
2 6
direct
0.250 0.250 0.162
0.750 0.750 0.838
0.250 0.523 0.685
0.250 0.750 0.119
0.250 0.977 0.685
0.750 0.023 0.315
0.750 0.250 0.881
0.750 0.477 0.315
```

=====

# 2
## Tm12InPd6 (PBE)

Data for an optimized crystal structure of Tm12InPd6.

Density, g/cm³: 9.3
Crystal system: trigonal

Geometry as POSCAR:
```
Tm12InPd6
1.0
6.970 4.024 2.957
-6.970 4.024 2.957
0.000 -8.048 2.957
Tm In Pd
12 1 6
direct
0.057 0.354 0.120
0.120 0.057 0.354
0.173 0.467 0.639
0.354 0.120 0.057
0.361 0.827 0.533
0.467 0.639 0.173
0.533 0.361 0.827
0.639 0.173 0.467
0.646 0.880 0.943
0.827 0.533 0.361
0.880 0.943 0.646
0.943 0.646 0.880
0.500 0.500 0.500
0.148 0.794 0.718
0.206 0.282 0.852
0.282 0.852 0.206
0.718 0.148 0.794
0.794 0.718 0.148
0.852 0.206 0.282
```

=====

Number 1: M_tot 0.00 μB/f.u., energy above the lowest structure with this stoichiometry 92 meV per atom. Number 2: M_tot 0.00 μB/f.u., energy above the lowest structure with this stoichiometry 110 meV per atom.